# LaY2As (PBE, optimized geometry)
# D(E_F) = 11.58 states/eV/cell
# final energy = -6.280 eV per atom
# DFT formation energy = -2.613 eV/f.u.
data_LaY2As
_symmetry_space_group_name_H-M 'R -3 m'
_symmetry_Int_Tables_number 166
_symmetry_space_group_name_Hall '-R 3 2"'
_cell_length_a 3.9038
_cell_length_b 3.9038
_cell_length_c 28.5868
_cell_angle_alpha 90.00
_cell_angle_beta 90.00
_cell_angle_gamma 120.00
loop_
_atom_site_label
_atom_site_fract_x
_atom_site_fract_y
_atom_site_fract_z
_atom_site_occupancy
La1 0.0000 0.0000 0.0000 1
Y1 0.0000 0.0000 0.2263 1
As1 0.0000 0.0000 0.5000 1